1.
Be2PPbF: optimized geometry, GGA-PBE.

Calculated values
Total energy, eV/cell: -18.98

Lattice parameters (Å, degrees): 3.9153 3.9153 6.0673 90.00 90.00 90.00
Last column: nearest neighbours and their distance in Å.
Fractional coordinates of all 5 atoms:
Be 0.0000 0.5000 0.0000  2 P 1.96
Be 0.5000 0.0000 0.0000  2 P 1.96
P 0.0000 0.0000 0.0000  4 Be 1.96
Pb 0.5000 0.5000 0.5000  4 F 2.77
F 0.0000 0.0000 0.5000  4 Pb 2.77, 2 P 3.03

***

2.
BePPtF2: optimized geometry, GGA-PBE.

Calculated values
Total energy, eV/cell: -20.33

Lattice parameters (Å, degrees): 3.6492 3.6492 5.3978 90.00 90.00 90.00
Last column: nearest neighbours and their distance in Å.
Fractional coordinates of all 5 atoms:
Be 0.0000 0.0000 0.0000  4 Pt 2.58, 2 P 2.70
P 0.0000 0.0000 0.5000  4 F 1.82
Pt 0.5000 0.5000 0.0000  4 Be 2.58
F 0.0000 0.5000 0.5000  2 P 1.82
F 0.5000 0.0000 0.5000  2 P 1.82

***

3.
RbBeP2F: optimized geometry, GGA-PBE.

Calculated values
Total energy, eV/cell: -19.64

Lattice parameters (Å, degrees): 4.0418 4.0418 8.0014 90.00 90.00 90.00
Last column: nearest neighbours and their distance in Å.
Fractional coordinates of all 5 atoms:
Rb 0.0000 0.0000 0.0000  4 F 2.86
Be 0.0000 0.0000 0.5000  4 P 2.02
P 0.0000 0.5000 0.5000  2 Be 2.02
P 0.5000 0.0000 0.5000  2 Be 2.02
F 0.5000 0.5000 0.0000  4 Rb 2.86

***

4.
BePS2F: optimized geometry, GGA-PBE.

Calculated values
ΔE to the lowest computed polymorph, eV/atom: 0.6422

Lattice parameters (Å, degrees): 4.8843 4.8843 3.6163 90.00 90.00 90.00
Last column: nearest neighbours and their distance in Å.
Fractional coordinates of all 5 atoms:
Be 0.0000 0.0000 0.0000  8 S 3.04
P 0.5000 0.5000 0.0000  2 F 1.81
S 0.0000 0.5000 0.5000  2 F 2.44
S 0.5000 0.0000 0.5000  2 F 2.44
F 0.5000 0.5000 0.5000  2 P 1.81

***

5.
BePS2F: optimized geometry, GGA-PBE.

Calculated values
ΔE to the lowest computed polymorph, eV/atom: 0.0000

Lattice parameters (Å, degrees): 4.1182 4.1182 4.4315 90.00 90.00 90.00
Last column: nearest neighbours and their distance in Å.
Fractional coordinates of all 5 atoms:
Be 0.0000 0.0000 0.0000  4 S 2.06, 2 P 2.22
P 0.0000 0.0000 0.5000  2 Be 2.22
S 0.0000 0.5000 0.0000  2 Be 2.06
S 0.5000 0.0000 0.0000  2 Be 2.06
F 0.5000 0.5000 0.5000  4 P 2.91, 8 S 3.02

***

6.
BeSnP2F: optimized geometry, GGA-PBE.

Calculated values
Total energy, eV/cell: -22.36

Lattice parameters (Å, degrees): 4.9251 4.9251 3.2159 90.00 90.00 90.00
Last column: nearest neighbours and their distance in Å.
Fractional coordinates of all 5 atoms:
Be 0.0000 0.0000 0.0000  2 F 1.61
Sn 0.5000 0.5000 0.5000  8 P 2.94, 2 Sn 3.22
P 0.0000 0.5000 0.0000  2 Be 2.46
P 0.5000 0.0000 0.0000  2 Be 2.46
F 0.0000 0.0000 0.5000  2 Be 1.61

***

7.
YBe2PF: optimized geometry, GGA-PBE.

Calculated values
Total energy, eV/cell: -23.79

Lattice parameters (Å, degrees): 3.8625 3.8625 5.5358 90.00 90.00 90.00
Last column: nearest neighbours and their distance in Å.
Fractional coordinates of all 5 atoms:
Y 0.0000 0.0000 0.0000  4 F 2.73, 2 P 2.77
Be 0.0000 0.5000 0.5000  2 P 1.93
Be 0.5000 0.0000 0.5000  2 P 1.93
P 0.0000 0.0000 0.5000  4 Be 1.93
F 0.5000 0.5000 0.0000  4 Y 2.73

***

8.
PaBeF: optimized geometry, GGA-PBE.

Calculated values
Total energy, eV/cell: -70.22

Lattice parameters (Å, degrees): 13.7120 2.7829 5.4334 90.00 90.00 90.00
Last column: nearest neighbours and their distance in Å.
Fractional coordinates of all 12 atoms:
Pa 0.1678 0.0000 0.0000  6 Pa 2.78-3.05, 3 Be 2.87
Pa 0.1678 0.5000 0.5000  6 Pa 2.78-3.05, 3 Be 2.87
Pa 0.8322 0.0000 0.0000  6 Pa 2.78-3.05, 3 Be 2.87
Pa 0.8322 0.5000 0.5000  6 Pa 2.78-3.05, 3 Be 2.87
Be 0.0000 0.0000 0.6852  6 Be 2.78-3.05, 6 Pa 2.87
Be 0.0000 0.5000 0.1852  6 Be 2.78-3.05, 6 Pa 2.87
Be 0.5000 0.0000 0.0472  4 F 1.76
Be 0.5000 0.5000 0.5472  4 F 1.76
F 0.4209 0.0000 0.5469  2 Be 1.76
F 0.4209 0.5000 0.0469  2 Be 1.76
F 0.5791 0.0000 0.5469  2 Be 1.76
F 0.5791 0.5000 0.0469  2 Be 1.76

***

9.
PaBeF6: optimized geometry, GGA-PBE.

Calculated values
Total energy, eV/cell: -102.66

Lattice parameters (Å, degrees): 5.6825 6.7562 4.4054 90.00 104.23 90.00
Last column: nearest neighbours and their distance in Å.
Fractional coordinates of all 16 atoms:
Pa 0.0000 0.0000 0.0000  12 F 2.47-2.53
Pa 0.5000 0.5000 0.0000  12 F 2.47-2.53
Be 0.0000 0.5000 0.5000  6 F 1.73-1.74
Be 0.5000 0.0000 0.5000  6 F 1.73-1.74
F 0.1125 0.3245 0.7865  1 Be 1.74
F 0.1125 0.6755 0.7865  1 Be 1.74
F 0.2136 0.0000 0.5708  1 Be 1.73
F 0.2864 0.5000 0.4292  1 Be 1.73
F 0.3875 0.1755 0.2135  1 Be 1.74
F 0.3875 0.8245 0.2135  1 Be 1.74
F 0.6125 0.1755 0.7865  1 Be 1.74
F 0.6125 0.8245 0.7865  1 Be 1.74
F 0.7136 0.5000 0.5708  1 Be 1.73
F 0.7864 0.0000 0.4292  1 Be 1.73
F 0.8875 0.3245 0.2135  1 Be 1.74
F 0.8875 0.6755 0.2135  1 Be 1.74

***

10.
PaBe2F8: optimized geometry, GGA-PBE.

Calculated values
Total energy, eV/cell: -68.97

Lattice parameters (Å, degrees): 5.4447 5.4447 5.7029 107.18 107.18 54.00
Last column: nearest neighbours and their distance in Å.
Fractional coordinates of all 11 atoms:
Pa 0.0000 0.0000 0.0000  6 F 2.27-2.32
Be 0.2070 0.2070 0.6895  4 F 1.53-1.58
Be 0.7930 0.7930 0.3105  4 F 1.53-1.58
F 0.1052 0.6373 0.2137  1 Be 1.58
F 0.1588 0.1588 0.3963  1 Be 1.58
F 0.3627 0.8948 0.7863  1 Be 1.58
F 0.3736 0.3736 0.8095  1 Be 1.53
F 0.6264 0.6264 0.1905  1 Be 1.53
F 0.6373 0.1052 0.2137  1 Be 1.58
F 0.8412 0.8412 0.6037  1 Be 1.58
F 0.8948 0.3627 0.7863  1 Be 1.58

***

11.
Be2Pb2F: optimized geometry, GGA-PBE.

Calculated values
ΔE to the lowest computed polymorph, eV/atom: 0.2818

Lattice parameters (Å, degrees): 7.3193 7.3193 3.4028 90.00 90.00 90.00
Last column: nearest neighbours and their distance in Å.
Fractional coordinates of all 10 atoms:
Be 0.1010 0.3990 0.0000  1 Be 2.09
Be 0.3990 0.8990 0.0000  1 Be 2.09
Be 0.6010 0.1010 0.0000  1 Be 2.09
Be 0.8990 0.6010 0.0000  1 Be 2.09
Pb 0.2028 0.7028 0.5000  6 Be 2.65-2.90
Pb 0.2972 0.2028 0.5000  6 Be 2.65-2.90
Pb 0.7028 0.7972 0.5000  6 Be 2.65-2.90
Pb 0.7972 0.2972 0.5000  6 Be 2.65-2.90
F 0.0000 0.0000 0.0000  4 Be 3.01, 8 Pb 3.14
F 0.5000 0.5000 0.0000  4 Be 3.01, 8 Pb 3.14

***

12.
BePbF4: optimized geometry, GGA-PBE.

Calculated values
ΔE to the lowest computed polymorph, eV/atom: 0.0000

Lattice parameters (Å, degrees): 8.4536 5.4441 7.0213 90.00 90.00 90.00
Last column: nearest neighbours and their distance in Å.
Fractional coordinates of all 24 atoms:
Be 0.0566 0.2500 0.1793  4 F 1.54-1.57
Be 0.4434 0.7500 0.6793  4 F 1.54-1.57
Be 0.5566 0.2500 0.3207  4 F 1.54-1.57
Be 0.9434 0.7500 0.8207  4 F 1.54-1.57
Pb 0.2008 0.2500 0.6768  6 F 2.47-2.74
Pb 0.2992 0.7500 0.1768  6 F 2.47-2.74
Pb 0.7008 0.2500 0.8232  6 F 2.47-2.74
Pb 0.7992 0.7500 0.3232  6 F 2.47-2.74
F 0.0755 0.0127 0.3051  1 Be 1.57
F 0.0755 0.4873 0.3051  1 Be 1.57
F 0.1108 0.7500 0.9088  1 Be 1.54
F 0.1946 0.2500 0.0317  1 Be 1.56
F 0.3054 0.7500 0.5317  1 Be 1.56
F 0.3892 0.2500 0.4088  1 Be 1.54
F 0.4245 0.5127 0.8051  1 Be 1.57
F 0.4245 0.9873 0.8051  1 Be 1.57
F 0.5755 0.0127 0.1949  1 Be 1.57
F 0.5755 0.4873 0.1949  1 Be 1.57
F 0.6108 0.7500 0.5912  1 Be 1.54
F 0.6946 0.2500 0.4683  1 Be 1.56
F 0.8054 0.7500 0.9683  1 Be 1.56
F 0.8892 0.2500 0.0912  1 Be 1.54
F 0.9245 0.5127 0.6949  1 Be 1.57
F 0.9245 0.9873 0.6949  1 Be 1.57

***

What is the formula in the fifth record? BePS2F

***

What did the twelfth record say?
BePbF4: optimized geometry, GGA-PBE.

Calculated values
ΔE to the lowest computed polymorph, eV/atom: 0.0000

Lattice parameters (Å, degrees): 8.4536 5.4441 7.0213 90.00 90.00 90.00
Last column: nearest neighbours and their distance in Å.
Fractional coordinates of all 24 atoms:
Be 0.0566 0.2500 0.1793  4 F 1.54-1.57
Be 0.4434 0.7500 0.6793  4 F 1.54-1.57
Be 0.5566 0.2500 0.3207  4 F 1.54-1.57
Be 0.9434 0.7500 0.8207  4 F 1.54-1.57
Pb 0.2008 0.2500 0.6768  6 F 2.47-2.74
Pb 0.2992 0.7500 0.1768  6 F 2.47-2.74
Pb 0.7008 0.2500 0.8232  6 F 2.47-2.74
Pb 0.7992 0.7500 0.3232  6 F 2.47-2.74
F 0.0755 0.0127 0.3051  1 Be 1.57
F 0.0755 0.4873 0.3051  1 Be 1.57
F 0.1108 0.7500 0.9088  1 Be 1.54
F 0.1946 0.2500 0.0317  1 Be 1.56
F 0.3054 0.7500 0.5317  1 Be 1.56
F 0.3892 0.2500 0.4088  1 Be 1.54
F 0.4245 0.5127 0.8051  1 Be 1.57
F 0.4245 0.9873 0.8051  1 Be 1.57
F 0.5755 0.0127 0.1949  1 Be 1.57
F 0.5755 0.4873 0.1949  1 Be 1.57
F 0.6108 0.7500 0.5912  1 Be 1.54
F 0.6946 0.2500 0.4683  1 Be 1.56
F 0.8054 0.7500 0.9683  1 Be 1.56
F 0.8892 0.2500 0.0912  1 Be 1.54
F 0.9245 0.5127 0.6949  1 Be 1.57
F 0.9245 0.9873 0.6949  1 Be 1.57

***

Repeat the sixth record exactly.
BeSnP2F: optimized geometry, GGA-PBE.

Calculated values
Total energy, eV/cell: -22.36

Lattice parameters (Å, degrees): 4.9251 4.9251 3.2159 90.00 90.00 90.00
Last column: nearest neighbours and their distance in Å.
Fractional coordinates of all 5 atoms:
Be 0.0000 0.0000 0.0000  2 F 1.61
Sn 0.5000 0.5000 0.5000  8 P 2.94, 2 Sn 3.22
P 0.0000 0.5000 0.0000  2 Be 2.46
P 0.5000 0.0000 0.0000  2 Be 2.46
F 0.0000 0.0000 0.5000  2 Be 1.61